Record 1
ZnSb2TeS | the Alexandria database | PBE | optimized geometry; magnetic moment = 0.000 μB/atom
1.0
5.279 0.000 0.000
0.000 5.279 0.000
0.000 0.000 5.065
Te Zn S Sb
1 1 1 2
Cartesian
0.000 0.000 2.532
0.000 0.000 0.000
2.639 2.639 2.532
0.000 2.639 0.000
2.639 0.000 0.000

***

Record 2
ZnSb2TeS | the Alexandria database | PBE | optimized geometry; magnetic moment = 0.000 μB/atom
1.0
-2.911 1.107 -4.224
-4.257 -1.851 2.448
-0.980 4.816 1.938
Zn Te Sb S
1 1 2 1
Cartesian
-4.074 2.036 0.081
-0.490 2.408 0.969
-2.128 -0.926 1.224
-1.456 0.554 -2.112
0.000 0.000 0.000

***

Record 3
ZrSb2TeS | the Alexandria database | PBE | optimized geometry; magnetic moment = 0.001 μB/atom
1.0
-3.793 -2.832 -2.027
0.117 -3.099 4.111
-3.437 2.944 2.317
Te S Sb Zr
1 1 2 1
Cartesian
-1.718 1.472 1.159
0.000 0.000 0.000
0.059 -1.550 2.056
-1.897 -1.416 -1.014
-3.556 -1.494 2.201

***

Record 4
ZrSb2TeS | the Alexandria database | PBE | optimized geometry; magnetic moment = 0.000 μB/atom
1.0
5.626 0.000 0.000
0.000 4.862 0.000
0.000 0.000 5.626
Sb Zr Te S
2 1 1 1
Cartesian
0.000 0.000 2.813
2.813 0.000 0.000
2.813 2.431 2.813
0.000 0.000 0.000
0.000 2.431 0.000

***

Record 5
ZrSb2TeS | the Alexandria database | PBE | optimized geometry; magnetic moment = 0.001 μB/atom
1.0
5.561 0.000 0.000
0.000 5.561 0.000
0.000 0.000 5.396
S Sb Zr Te
1 2 1 1
Cartesian
2.780 2.780 2.698
2.780 0.000 0.000
0.000 2.780 0.000
0.000 0.000 0.000
0.000 0.000 2.698

***

Record 6
ThSbS | the Alexandria database | PBE | optimized geometry; magnetic moment = 0.000 μB/atom
1.0
-3.011 1.032 -2.745
-1.997 -3.602 0.837
-1.862 5.159 7.200
Th Sb S
2 2 2
Cartesian
-3.817 -0.120 0.925
-3.053 2.709 4.367
-0.999 -1.801 0.419
-1.505 0.516 -1.372
-1.609 1.427 2.301
-5.262 1.161 2.991

***

Number 1: final energy -0.096 Ha/atom, raw formation energy 742 meV per atom. Number 2: final energy -0.101 Ha/atom, raw formation energy 614 meV per atom. Number 3: final energy -0.161 Ha/atom, raw formation energy 421 meV per atom. Number 4: final energy -0.147 Ha/atom, raw formation energy 805 meV per atom. Number 5: final energy -0.161 Ha/atom, raw formation energy 443 meV per atom. Number 6: final energy -0.240 Ha/atom, raw formation energy -1307 meV per atom.